1.
VASP calculation (GGA-PBE) on a geometry-optimized CrPRu structure.

## Properties
Symmetry: Cm, No. 8
Fermi-level density of states in states/eV/atom: 0.54
Electronic total energy in eV/atom: -8.461

a = 6.202 Å, b = 3.030 Å, c = 8.304 Å
α = 90.00°, β = 100.55°, γ = 90.00°
Fractional positions:
Cr  0.949  0.000  0.201
Cr  0.022  0.000  0.484
Cr  0.022  0.500  0.984
Cr  0.949  0.500  0.701
P  0.312  0.000  0.099
P  0.312  0.500  0.599
P  0.739  0.500  0.374
P  0.739  0.000  0.874
Ru  0.618  0.000  0.576
Ru  0.320  0.500  0.312
Ru  0.320  0.000  0.812
Ru  0.618  0.500  0.076

---

2.
VASP calculation (GGA-PBE) on a geometry-optimized Dy6InIr structure.

## Properties
Symmetry: P-1, No. 2
Fermi-level density of states in states/eV/atom: 1.26
Electronic total energy in eV/atom: -5.040

a = 6.938 Å, b = 6.956 Å, c = 7.429 Å
α = 62.26°, β = 62.35°, γ = 60.05°
Fractional positions:
Ir  0.000  0.000  0.000
Dy  0.037  0.420  0.754
Dy  0.212  0.964  0.247
Dy  0.963  0.580  0.246
Dy  0.579  0.211  0.247
Dy  0.421  0.789  0.753
Dy  0.788  0.036  0.753
In  0.500  0.500  0.500

---

3.
VASP calculation (GGA-PBE) on a geometry-optimized Li2InAs2 structure.

## Properties
Symmetry: I4/mmm, No. 139
Fermi-level density of states in states/eV/atom: 0.44
Electronic total energy in eV/atom: -3.476

a = 4.452 Å, b = 4.452 Å, c = 6.092 Å
α = 68.57°, β = 68.57°, γ = 90.00°
Fractional positions:
Li  0.750  0.250  0.500
Li  0.250  0.750  0.500
As  0.614  0.614  0.772
As  0.386  0.386  0.228
In  0.000  0.000  0.000

---

4.
VASP calculation (GGA-PBE) on a geometry-optimized Pr2CdCl structure.

## Properties
Symmetry: R3m, No. 160
Fermi-level density of states in states/eV/atom: 0.99
Formation energy (no corrections) in eV/atom: -0.748

a = 3.745 Å, b = 3.745 Å, c = 9.667 Å
α = 78.83°, β = 78.83°, γ = 60.00°
Fractional positions:
Cd  0.500  0.500  0.499
Cl  0.666  0.666  0.001
Pr  0.078  0.078  0.766
Pr  0.256  0.256  0.233